No. 1
The following is a DFT calculation (PBE) of crystalline Ce2ZnPt2 at its relaxed geometry.

Results
- Formation energy from the elements: -0.82 eV/atom
- Theoretical density: 10.686 g/cm3

a b c (Å): 4.0874 16.7112 6.6957
angles (deg): 90.00 90.00 90.00
Space group Cmc2_1 (No. 36)
Inequivalent atoms, fractional coordinates:
Ce: 0.0000 0.0206 0.0000 [4 per cell]
Ce: 0.0000 0.2039 0.6634 [4 per cell]
Zn: 0.0000 0.3913 0.8210 [4 per cell]
Pt: 0.0000 0.1790 0.1478 [4 per cell]
Pt: 0.0000 0.4266 0.2102 [4 per cell]



No. 2
The following is a DFT calculation (PBE) of crystalline CeZn6Pt4 at its relaxed geometry.

Results
- Formation energy from the elements: -0.58 eV/atom
- Theoretical density: 11.525 g/cm3

a b c (Å): 7.3528 7.3528 4.0403
angles (deg): 90.00 90.00 120.00
Space group P-6m2 (No. 187)
Inequivalent atoms, fractional coordinates:
Ce: 0.0000 0.0000 0.0000 [1 per cell]
Zn: 0.2028 0.4056 0.5000 [3 per cell]
Zn: 0.5353 0.0705 0.0000 [3 per cell]
Pt: 0.3333 0.6667 0.0000 [1 per cell]
Pt: 0.3955 0.1977 0.5000 [3 per cell]



No. 3
The following is a DFT calculation (PBE) of crystalline Ce3Zn7Pt4 at its relaxed geometry.

Results
- Formation energy from the elements: -0.69 eV/atom
- Theoretical density: 10.515 g/cm3

a b c (Å): 15.4475 4.3411 9.3623
angles (deg): 90.00 123.45 90.00
Space group C2/m (No. 12)
Inequivalent atoms, fractional coordinates:
Ce: 0.0000 0.0000 0.0000 [2 per cell]
Ce: 0.2033 0.5000 0.7075 [4 per cell]
Zn: 0.0000 0.0000 0.5000 [2 per cell]
Zn: 0.0048 0.5000 0.3138 [4 per cell]
Zn: 0.1434 0.0000 0.4231 [4 per cell]
Zn: 0.1741 0.5000 0.0136 [4 per cell]
Pt: 0.1158 0.0000 0.8304 [4 per cell]
Pt: 0.1586 0.5000 0.2761 [4 per cell]



No. 4
The following is a DFT calculation (PBE) of crystalline CeZn5Pt2 at its relaxed geometry.

Results
- Formation energy from the elements: -0.52 eV/atom
- Theoretical density: 9.869 g/cm3

a b c (Å): 3.9737 7.6798 9.4535
angles (deg): 90.00 90.00 90.00
Space group Immm (No. 71)
Inequivalent atoms, fractional coordinates:
Ce: 0.0000 0.0000 0.0000 [2 per cell]
Zn: 0.0000 0.1811 0.3522 [8 per cell]
Zn: 0.0000 0.5000 0.0000 [2 per cell]
Pt: 0.0000 0.5000 0.2711 [4 per cell]



No. 5
The following is a DFT calculation (PBE) of crystalline Ce2Zn5Pt at its relaxed geometry.

Results
- Formation energy from the elements: -0.46 eV/atom
- Theoretical density: 8.531 g/cm3

a b c (Å): 4.2534 16.3207 8.9995
angles (deg): 90.00 90.00 90.00
Space group Cmcm (No. 63)
Inequivalent atoms, fractional coordinates:
Ce: 0.0000 0.0000 0.0000 [4 per cell]
Ce: 0.0000 0.1922 0.2500 [4 per cell]
Zn: 0.0000 0.1902 0.6099 [8 per cell]
Zn: 0.0000 0.3477 0.5191 [8 per cell]
Zn: 0.0000 0.3977 0.2500 [4 per cell]
Pt: 0.0000 0.4449 0.7500 [4 per cell]



No. 6
The following is a DFT calculation (PBE) of crystalline Ce3Zn2Pt4 at its relaxed geometry.

Results
- Formation energy from the elements: -0.89 eV/atom
- Theoretical density: 11.702 g/cm3

a b c (Å): 9.8913 4.4317 8.6508
angles (deg): 90.00 94.81 90.00
Space group C2/m (No. 12)
Inequivalent atoms, fractional coordinates:
Ce: 0.0000 0.0000 0.0000 [2 per cell]
Ce: 0.1168 0.5000 0.3895 [4 per cell]
Zn: 0.1844 0.5000 0.7820 [4 per cell]
Pt: 0.0907 0.0000 0.6369 [4 per cell]
Pt: 0.2068 0.5000 0.0906 [4 per cell]



No. 7
The following is a DFT calculation (PBE) of crystalline CeZnPt at its relaxed geometry.

Results
- Formation energy from the elements: -0.80 eV/atom
- Theoretical density: 10.777 g/cm3

a b c (Å): 4.5030 4.5030 3.5151
angles (deg): 90.00 90.00 120.00
Space group P-6m2 (No. 187)
Inequivalent atoms, fractional coordinates:
Ce: 0.0000 0.0000 0.0000 [1 per cell]
Zn: 0.3333 0.6667 0.5000 [1 per cell]
Pt: 0.6667 0.3333 0.5000 [1 per cell]



No. 8
The following is a DFT calculation (PBE) of crystalline CeZn3Pt3 at its relaxed geometry.

Results
- Formation energy from the elements: -0.64 eV/atom
- Theoretical density: 12.204 g/cm3

a b c (Å): 6.7565 6.7565 19.0318
angles (deg): 90.00 90.00 120.00
Space group R-3 (No. 148, hexagonal axes)
Inequivalent atoms, fractional coordinates:
Ce: 0.0000 0.0000 0.1585 [6 per cell]
Zn: 0.0464 0.6105 0.3677 [18 per cell]
Pt: 0.0029 0.7570 0.5648 [18 per cell]



No. 9
The following is a DFT calculation (PBE) of crystalline Ce2Zn3Pt5 at its relaxed geometry.

Results
- Formation energy from the elements: -0.74 eV/atom
- Theoretical density: 12.748 g/cm3

a b c (Å): 11.4497 11.4815 5.7545
angles (deg): 90.00 90.00 90.00
Space group Ibam (No. 72)
Inequivalent atoms, fractional coordinates:
Ce: 0.1271 0.2279 0.0000 [8 per cell]
Zn: 0.0000 0.5000 0.2500 [4 per cell]
Zn: 0.1389 0.1166 0.5000 [8 per cell]
Pt: 0.0000 0.0000 0.2500 [4 per cell]
Pt: 0.1072 0.3293 0.5000 [8 per cell]
Pt: 0.2237 0.5000 0.2500 [8 per cell]



No. 10
The following is a DFT calculation (PBE) of crystalline CeZnPt at its relaxed geometry.

Results
- Formation energy from the elements: -0.87 eV/atom
- Theoretical density: 10.900 g/cm3

a b c (Å): 6.9185 4.3603 8.0921
angles (deg): 90.00 90.00 90.00
Space group Pnma (No. 62)
Inequivalent atoms, fractional coordinates:
Ce: 0.0329 0.2500 0.1942 [4 per cell]
Zn: 0.1489 0.2500 0.5660 [4 per cell]
Pt: 0.2442 0.7500 0.3880 [4 per cell]



No. 11
The following is a DFT calculation (PBE) of crystalline Ce3Zn2Pt4 at its relaxed geometry.

Results
- Formation energy from the elements: -0.92 eV/atom
- Theoretical density: 11.851 g/cm3

a b c (Å): 11.1479 4.3527 8.6871
angles (deg): 90.00 117.73 90.00
Space group C2/m (No. 12)
Inequivalent atoms, fractional coordinates:
Ce: 0.0000 0.0000 0.0000 [2 per cell]
Ce: 0.1402 0.5000 0.6908 [4 per cell]
Zn: 0.1636 0.5000 0.3358 [4 per cell]
Pt: 0.0714 0.0000 0.4000 [4 per cell]
Pt: 0.2091 0.5000 0.0703 [4 per cell]



No. 12
The following is a DFT calculation (PBE) of crystalline Ce2ZnPt at its relaxed geometry.

Results
- Formation energy from the elements: -0.59 eV/atom
- Theoretical density: 10.344 g/cm3

a b c (Å): 6.3210 8.4179 6.5256
angles (deg): 90.00 90.00 90.00
Space group Imma (No. 74)
Inequivalent atoms, fractional coordinates:
Ce: 0.2500 0.0229 0.2500 [8 per cell]
Zn: 0.0000 0.2500 0.5504 [4 per cell]
Pt: 0.0000 0.2500 0.9783 [4 per cell]



No. 13
The following is a DFT calculation (PBE) of crystalline Ce2ZnPt9 at its relaxed geometry.

Results
- Formation energy from the elements: -0.77 eV/atom
- Theoretical density: 16.941 g/cm3

a b c (Å): 4.1143 4.1143 12.1679
angles (deg): 90.00 90.00 90.00
Space group P4/mmm (No. 123)
Inequivalent atoms, fractional coordinates:
Ce: 0.0000 0.0000 0.1753 [2 per cell]
Zn: 0.0000 0.0000 0.5000 [1 per cell]
Pt: 0.0000 0.5000 0.0000 [2 per cell]
Pt: 0.0000 0.5000 0.3453 [4 per cell]
Pt: 0.5000 0.5000 0.1734 [2 per cell]
Pt: 0.5000 0.5000 0.5000 [1 per cell]



No. 14
The following is a DFT calculation (PBE) of crystalline Ce2ZnPt at its relaxed geometry.

Results
- Formation energy from the elements: -0.60 eV/atom
- Theoretical density: 9.740 g/cm3

a b c (Å): 3.7164 3.7164 6.6746
angles (deg): 90.00 90.00 90.00
Space group P4/mmm (No. 123)
Inequivalent atoms, fractional coordinates:
Ce: 0.0000 0.0000 0.2330 [2 per cell]
Zn: 0.5000 0.5000 0.5000 [1 per cell]
Pt: 0.5000 0.5000 0.0000 [1 per cell]



No. 15
The following is a DFT calculation (PBE) of crystalline CeZn12Pt4 at its relaxed geometry.

Results
- Formation energy from the elements: -0.11 eV/atom
- Theoretical density: 8.465 g/cm3

a b c (Å): 8.7464 8.7464 8.7464
angles (deg): 90.00 90.00 90.00
Space group Im-3 (No. 204)
Inequivalent atoms, fractional coordinates:
Ce: 0.0000 0.0000 0.0000 [2 per cell]
Zn: 0.0000 0.1537 0.3521 [24 per cell]
Pt: 0.2500 0.2500 0.2500 [8 per cell]



No. 16
The following is a DFT calculation (PBE) of crystalline CeZn3Pt3 at its relaxed geometry.

Results
- Formation energy from the elements: 0.59 eV/atom
- Theoretical density: 7.351 g/cm3

a b c (Å): 11.8535 11.8535 11.8535
angles (deg): 90.00 90.00 90.00
Space group Fm-3m (No. 225)
Inequivalent atoms, fractional coordinates:
Ce: 0.2500 0.2500 0.2500 [8 per cell]
Zn: 0.0000 0.0000 0.1488 [24 per cell]
Pt: 0.0000 0.0000 0.3422 [24 per cell]



No. 17
The following is a DFT calculation (PBE) of crystalline CeZn2Pt5 at its relaxed geometry.

Results
- Formation energy from the elements: -0.57 eV/atom
- Theoretical density: 14.623 g/cm3

a b c (Å): 3.8614 7.1779 10.2129
angles (deg): 90.00 90.00 90.00
Space group Immm (No. 71)
Inequivalent atoms, fractional coordinates:
Ce: 0.0000 0.0000 0.0000 [2 per cell]
Zn: 0.0000 0.5000 0.2445 [4 per cell]
Pt: 0.0000 0.2023 0.3627 [8 per cell]
Pt: 0.0000 0.5000 0.0000 [2 per cell]



No. 18
The following is a DFT calculation (PBE) of crystalline CeZrPt2 at its relaxed geometry.

Results
- Formation energy from the elements: -0.96 eV/atom
- Theoretical density: 12.438 g/cm3

a b c (Å): 3.3579 3.3579 7.3586
angles (deg): 90.00 90.00 90.00
Space group P4/mmm (No. 123)
Inequivalent atoms, fractional coordinates:
Ce: 0.0000 0.0000 0.0000 [1 per cell]
Zr: 0.0000 0.0000 0.5000 [1 per cell]
Pt: 0.5000 0.5000 0.2872 [2 per cell]



No. 19
The following is a DFT calculation (PBE) of crystalline CeZr2Pt at its relaxed geometry.

Results
- Formation energy from the elements: -0.45 eV/atom
- Theoretical density: 9.763 g/cm3

a b c (Å): 3.4091 3.4091 7.5757
angles (deg): 90.00 90.00 90.00
Space group P4/mmm (No. 123)
Inequivalent atoms, fractional coordinates:
Ce: 0.0000 0.0000 0.0000 [1 per cell]
Zr: 0.5000 0.5000 0.2866 [2 per cell]
Pt: 0.0000 0.0000 0.5000 [1 per cell]



No. 20
The following is a DFT calculation (PBE) of crystalline CeZrPt6 at its relaxed geometry.

Results
- Formation energy from the elements: -1.00 eV/atom
- Theoretical density: 16.715 g/cm3

a b c (Å): 4.1135 4.1135 8.2307
angles (deg): 90.00 90.00 90.00
Space group P4/mmm (No. 123)
Inequivalent atoms, fractional coordinates:
Ce: 0.0000 0.0000 0.0000 [1 per cell]
Zr: 0.0000 0.0000 0.5000 [1 per cell]
Pt: 0.0000 0.5000 0.2590 [4 per cell]
Pt: 0.5000 0.5000 0.0000 [1 per cell]
Pt: 0.5000 0.5000 0.5000 [1 per cell]



No. 21
The following is a DFT calculation (PBE) of crystalline Ce2ZrPt at its relaxed geometry.

Results
- Formation energy from the elements: -0.06 eV/atom
- Theoretical density: 10.497 g/cm3

a b c (Å): 3.0508 3.0508 33.3558
angles (deg): 90.00 90.00 120.00
Space group R-3m (No. 166, hexagonal axes)
Inequivalent atoms, fractional coordinates:
Ce: 0.0000 0.0000 0.0914 [6 per cell]
Zr: 0.0000 0.0000 0.0000 [3 per cell]
Pt: 0.0000 0.0000 0.5000 [3 per cell]



No. 22
The following is a DFT calculation (PBE) of crystalline Ce2ZrPt at its relaxed geometry.

Results
- Formation energy from the elements: -0.37 eV/atom
- Theoretical density: 9.551 g/cm3

a b c (Å): 3.6659 3.6659 7.3294
angles (deg): 90.00 90.00 90.00
Space group P4/mmm (No. 123)
Inequivalent atoms, fractional coordinates:
Ce: 0.0000 0.0000 0.2135 [2 per cell]
Zr: 0.5000 0.5000 0.5000 [1 per cell]
Pt: 0.5000 0.5000 0.0000 [1 per cell]



No. 23
The following is a DFT calculation (PBE) of crystalline CeZr2Pt at its relaxed geometry.

Results
- Formation energy from the elements: -0.25 eV/atom
- Theoretical density: 8.787 g/cm3

a b c (Å): 4.7895 4.7895 14.7728
angles (deg): 90.00 90.00 120.00
Space group R3m (No. 160, hexagonal axes)
Inequivalent atoms, fractional coordinates:
Ce: 0.0000 0.0000 0.0000 [3 per cell]
Zr: 0.0000 0.0000 0.5691 [3 per cell]
Zr: 0.0000 0.0000 0.7931 [3 per cell]
Pt: 0.0000 0.0000 0.1888 [3 per cell]